1.
TbHoAl4: relaxed, GGA-PBEsol.

Cell lengths 7.789, 7.789, 7.789 Å; angles 90.00, 90.00, 90.00 degrees
Space group F-43m (No. 216)
Asymmetric unit:
Tb1 0.000 0.000 0.000 (multiplicity 4)
Ho1 0.250 0.250 0.250 (multiplicity 4)
Al1 0.125 0.125 0.625 (multiplicity 16)

The formation energy is -528 meV per atom. As for the magnetic moment: 0.00 μB per cell.

=====

2.
Ho6Ti4Al43: relaxed, GGA-PBEsol.

Cell lengths 10.9628, 10.9628, 17.6880 Å; angles 90.00, 90.00, 120.00 degrees
Space group P6_3/mcm (No. 193)
Asymmetric unit:
Ho1 0.0000 0.4711 0.0961 (multiplicity 12)
Ti1 0.0000 0.0000 0.0000 (multiplicity 2)
Ti2 0.0000 0.2724 0.2500 (multiplicity 6)
Al1 0.0000 0.1472 0.7500 (multiplicity 6)
Al2 0.0000 0.1561 0.1164 (multiplicity 12)
Al3 0.0000 0.2533 0.5287 (multiplicity 12)
Al4 0.1493 0.5532 0.2500 (multiplicity 12)
Al5 0.1593 0.3936 0.6632 (multiplicity 24)
Al6 0.2473 0.4947 0.0000 (multiplicity 12)
Al7 0.3333 0.6667 0.1255 (multiplicity 8)

The formation energy is -337 meV per atom. As for the magnetic moment: 0.00 μB per cell.